(1)
# LaErIr PBE relaxed
# Calculated density, g/cm3: 10.16
# M_tot, μB/cell: 0.0
# N(E_F), states/eV per atom: 1.264
# Energy above the lowest structure with this stoichiometry, eV/atom: 0.118
data_LaErIr
_cell_length_a 3.535
_cell_length_b 3.535
_cell_length_c 6.982
_cell_angle_alpha 104.66
_cell_angle_beta 104.66
_cell_angle_gamma 90.00
_space_group_name_H-M_alt 'P 1'
_space_group_IT_number 1
loop_
_space_group_symop_operation_xyz
'x,y,z'
loop_
_atom_site_label
_atom_site_type_symbol
_atom_site_fract_x
_atom_site_fract_y
_atom_site_fract_z
Ir1 Ir 0.659 0.659 0.318
La1 La 0.297 0.297 0.593
Er1 Er 0.044 0.044 0.089

---

(2)
# Tm4PPb2 PBE relaxed
# Calculated density, g/cm3: 9.78
# M_tot, μB/cell: 0.0
# N(E_F), states/eV per atom: 0.604
# Energy above the lowest structure with this stoichiometry, eV/atom: 0.042
data_Tm4PPb2
_cell_length_a 6.515
_cell_length_b 6.514
_cell_length_c 9.600
_cell_angle_alpha 90.00
_cell_angle_beta 110.80
_cell_angle_gamma 90.00
_space_group_name_H-M_alt 'P 1'
_space_group_IT_number 1
loop_
_space_group_symop_operation_xyz
'x,y,z'
loop_
_atom_site_label
_atom_site_type_symbol
_atom_site_fract_x
_atom_site_fract_y
_atom_site_fract_z
Tm1 Tm 0.498 0.497 0.254
Tm2 Tm 0.069 0.750 0.867
Tm3 Tm 0.931 0.250 0.133
Tm4 Tm 0.498 0.003 0.254
Tm5 Tm 0.910 0.250 0.579
Tm6 Tm 0.502 0.997 0.746
Tm7 Tm 0.502 0.503 0.746
Tm8 Tm 0.090 0.750 0.421
P1 P 0.153 0.750 0.159
P2 P 0.847 0.250 0.841
Pb1 Pb 0.691 0.750 0.050
Pb2 Pb 0.309 0.250 0.950
Pb3 Pb 0.292 0.250 0.452
Pb4 Pb 0.708 0.750 0.548

---

(3)
# TaTlBr2 PBE relaxed
# Calculated density, g/cm3: 8.23
# M_tot, μB/cell: 0.0
# N(E_F), states/eV per atom: 0.246
# Energy above the lowest structure with this stoichiometry, eV/atom: 0.301
data_TaTlBr2
_cell_length_a 4.927
_cell_length_b 3.299
_cell_length_c 6.765
_cell_angle_alpha 90.01
_cell_angle_beta 90.00
_cell_angle_gamma 90.00
_space_group_name_H-M_alt 'P 1'
_space_group_IT_number 1
loop_
_space_group_symop_operation_xyz
'x,y,z'
loop_
_atom_site_label
_atom_site_type_symbol
_atom_site_fract_x
_atom_site_fract_y
_atom_site_fract_z
Tl1 Tl 0.500 0.875 0.673
Br1 Br 0.000 0.875 0.118
Br2 Br 0.500 0.375 0.284
Ta1 Ta 0.000 0.375 0.426

---

(4)
# Ba2PbSe3 PBE relaxed
# Calculated density, g/cm3: 5.71
# M_tot, μB/cell: 0.0
# VASP energy, eV/atom: -4.543
# N(E_F), states/eV per atom: 0.000
data_Ba2PbSe3
_cell_length_a 4.614
_cell_length_b 6.540
_cell_length_c 8.003
_cell_angle_alpha 114.12
_cell_angle_beta 106.75
_cell_angle_gamma 90.00
_space_group_name_H-M_alt 'P 1'
_space_group_IT_number 1
loop_
_space_group_symop_operation_xyz
'x,y,z'
loop_
_atom_site_label
_atom_site_type_symbol
_atom_site_fract_x
_atom_site_fract_y
_atom_site_fract_z
Ba1 Ba 0.834 0.834 0.168
Ba2 Ba 0.166 0.166 0.832
Pb1 Pb 0.500 0.500 0.500
Se1 Se 0.841 0.341 0.182
Se2 Se 0.159 0.659 0.818
Se3 Se 0.500 0.000 0.500